Density functional theory data (PBE-GGA) for a geometry-optimized ZrMo3 structure.

Properties
Density of states at the Fermi level   12.53 states/eV/cell
Mass density   9.2 g cm⁻³
ΔH_f (0 K)   -3 meV/atom

Unit cell a=6.542 b=9.223 c=4.539 alpha=90.00 beta=90.00 gamma=90.00
Positions (direct):
Zr (0.000, 0.125, 0.250)
Zr (0.000, 0.875, 0.750)
Zr (0.500, 0.375, 0.750)
Zr (0.500, 0.625, 0.250)
Mo (0.000, 0.377, 0.750)
Mo (0.000, 0.623, 0.250)
Mo (0.240, 0.375, 0.250)
Mo (0.240, 0.625, 0.750)
Mo (0.260, 0.125, 0.750)
Mo (0.260, 0.875, 0.250)
Mo (0.500, 0.123, 0.250)
Mo (0.500, 0.877, 0.750)
Mo (0.740, 0.125, 0.750)
Mo (0.740, 0.875, 0.250)
Mo (0.760, 0.375, 0.250)
Mo (0.760, 0.625, 0.750)

=====

Density functional theory data (PBE-GGA) for a geometry-optimized EuBiIr4 structure.

Properties
Density of states at the Fermi level   13.01 states/eV/cell
Mass density   16.7 g cm⁻³
ΔH_f (0 K)   -111 meV/atom

Unit cell a=5.416 b=5.416 c=5.416 alpha=60.00 beta=60.00 gamma=60.00
Positions (direct):
Eu (0.000, 0.000, 0.000)
Bi (0.250, 0.250, 0.250)
Ir (0.126, 0.625, 0.625)
Ir (0.625, 0.126, 0.625)
Ir (0.625, 0.625, 0.126)
Ir (0.625, 0.625, 0.625)

=====

Density functional theory data (PBE-GGA) for a geometry-optimized TmNpCoRu structure.

Properties
Density of states at the Fermi level   13.78 states/eV/cell
Mass density   12.7 g cm⁻³
ΔH_f (0 K)   -113 meV/atom

Unit cell a=6.663 b=6.663 c=6.663 alpha=90.00 beta=90.00 gamma=90.00
Positions (direct):
Tm (0.000, 0.000, 0.000)
Tm (0.000, 0.500, 0.500)
Tm (0.500, 0.000, 0.500)
Tm (0.500, 0.500, 0.000)
Np (0.000, 0.000, 0.500)
Np (0.000, 0.500, 0.000)
Np (0.500, 0.000, 0.000)
Np (0.500, 0.500, 0.500)
Co (0.250, 0.250, 0.250)
Co (0.250, 0.750, 0.750)
Co (0.750, 0.250, 0.750)
Co (0.750, 0.750, 0.250)
Ru (0.250, 0.250, 0.750)
Ru (0.250, 0.750, 0.250)
Ru (0.750, 0.250, 0.250)
Ru (0.750, 0.750, 0.750)

=====

Density functional theory data (PBE-GGA) for a geometry-optimized NdHo2Pb structure.

Properties
Density of states at the Fermi level   10.30 states/eV/cell
Mass density   8.9 g cm⁻³
ΔH_f (0 K)   -307 meV/atom
Distance to the lowest polymorph of the same formula   0.00 eV/f.u.

Unit cell a=4.689 b=4.751 c=11.592 alpha=90.00 beta=101.63 gamma=90.00
Positions (direct):
Nd (0.191, 0.250, 0.384)
Nd (0.809, 0.750, 0.616)
Ho (0.056, 0.750, 0.113)
Ho (0.438, 0.750, 0.876)
Ho (0.562, 0.250, 0.124)
Ho (0.944, 0.250, 0.887)
Pb (0.337, 0.250, 0.672)
Pb (0.663, 0.750, 0.328)